[1]
The following is a DFT calculation (PBE-GGA) of a relaxed structure of Na3Al2Au4.

a = 11.146 Å, b = 4.430 Å, c = 8.572 Å
α = 90.00°, β = 110.12°, γ = 90.00°
Space group C2/m (No. 12)
Inequivalent atoms, fractional coordinates:
1 Na 0.000 0.000 0.000 [2 per cell]
2 Na 0.119 0.500 0.703 [4 per cell]
3 Al 0.182 0.500 0.355 [4 per cell]
4 Au 0.093 0.000 0.420 [4 per cell]
5 Au 0.224 0.500 0.087 [4 per cell]

Total magnetic moment, μB per cell: 0.00
Relative energy among the computed polymorphs, meV/atom: 0
Energy of formation, eV/f.u.: -3.052

=====

[2]
The following is a DFT calculation (PBE-GGA) of a relaxed structure of Pu2MnRe.

a = 2.8814 Å, b = 2.8814 Å, c = 30.8319 Å
α = 90.00°, β = 90.00°, γ = 120.00°
Space group R-3m (No. 166, hexagonal axes)
Inequivalent atoms, fractional coordinates:
1 Pu 0.0000 0.0000 0.0883 [6 per cell]
2 Mn 0.0000 0.0000 0.5000 [3 per cell]
3 Re 0.0000 0.0000 0.0000 [3 per cell]

Total magnetic moment, μB per cell: 18.48
Relative energy among the computed polymorphs, meV/atom: 446
Energy of formation, eV/f.u.: 2.503